Here is a geometry-optimized TiCuIr2 structure from Alexandria. Energies are from GGA-PBE.

For the calculated volume, the calculation gives 63 Å³/f.u. The energy relative to the elements comes out at 0.2 eV per formula unit.

Cell lengths 3.8534, 3.8534, 17.0722 Å; angles 90.00, 90.00, 90.00 degrees
With the nearest neighbours (Å) after each atom.
Space group I-42d (No. 122)
Unique sites:
Ti 0.0000 0.0000 0.0000  4 Ir 2.58, 4 Cu 2.72
Cu 0.0000 0.0000 0.5000  4 Ir 2.49, 4 Ti 2.72
Ir 0.2200 0.2500 0.6250  2 Cu 2.49, 2 Ir 2.57, 2 Ti 2.58